## Cr2S2F (PBE+U)

Data for a geometry-optimized Cr2S2F structure.

Properties
* SG: No. 139
* E_tot: -6.073 eV per atom
* distance to the lowest polymorph of the same formula: 0.0 meV per atom

a = 6.2079 Å, b = 6.2079 Å, c = 6.2079 Å
α = 135.34°, β = 135.34°, γ = 65.00°
With the nearest neighbours (Å) after each atom.
Fractional positions:
Cr: 0.1896 0.1896 0.0000  1 F 1.99
Cr: 0.8104 0.8104 0.0000  1 F 1.99
S: 0.2500 0.7500 0.5000  4 Cr 2.44
S: 0.7500 0.2500 0.5000  4 Cr 2.44
F: 0.0000 0.0000 0.0000  2 Cr 1.99